1.
# Sr2VCoTc (PBE, optimized geometry)
# VASP energy, eV/atom: -4.57
# Magnetization, μB per formula unit: 5.59
# E_form, eV/atom: 1.42
# V, Å³ per cell: 146.2
data_Sr2VCoTc
_chemical_formula_sum 'Sr2 V1 Co1 Tc1'
_space_group_name_H-M_alt 'P 4/m m m'
_space_group_IT_number 123
_space_group_name_Hall '-P 4 2'
_cell_length_a 5.979
_cell_length_b 5.979
_cell_length_c 4.090
_cell_angle_alpha 90.00
_cell_angle_beta 90.00
_cell_angle_gamma 90.00
loop_
_atom_site_label
_atom_site_fract_x
_atom_site_fract_y
_atom_site_fract_z
_atom_site_occupancy
Sr1 0.000 0.500 0.000 1
V1 0.000 0.000 0.000 1
Co1 0.000 0.000 0.500 1
Tc1 0.500 0.500 0.500 1


2.
# ReAuIO2 (PBE, optimized geometry)
# Energy relative to the elements, uncorrected, eV/atom: 1.29
# VASP energy, eV/atom: -4.15
# Magnetization, μB per formula unit: 5.15
# Relative energy among the computed polymorphs, eV/f.u.: 9.32
# V, Å³ per cell: 111.4
data_ReAuIO2
_chemical_formula_sum 'Re1 Au1 I1 O2'
_space_group_name_H-M_alt 'P 4/m m m'
_space_group_IT_number 123
_space_group_name_Hall '-P 4 2'
_cell_length_a 3.995
_cell_length_b 3.995
_cell_length_c 6.979
_cell_angle_alpha 90.00
_cell_angle_beta 90.00
_cell_angle_gamma 90.00
loop_
_atom_site_label
_atom_site_fract_x
_atom_site_fract_y
_atom_site_fract_z
_atom_site_occupancy
Re1 0.000 0.000 0.000 1
Au1 0.500 0.500 0.500 1
I1 0.500 0.500 0.000 1
O1 0.000 0.500 0.500 1


3.
# Nd2HoTm (PBE, optimized geometry)
# VASP energy, eV/atom: -4.54
# Magnetization, μB per formula unit: 0.00
# E_form, eV/atom: 0.10
# Relative energy among the computed polymorphs, eV/f.u.: 0.35
# V, Å³ per cell: 530.0
data_Nd2HoTm
_chemical_formula_sum 'Nd8 Ho4 Tm4'
_space_group_name_H-M_alt 'F m -3 m'
_space_group_IT_number 225
_space_group_name_Hall '-F 4 2 3'
_cell_length_a 8.093
_cell_length_b 8.093
_cell_length_c 8.093
_cell_angle_alpha 90.00
_cell_angle_beta 90.00
_cell_angle_gamma 90.00
loop_
_atom_site_label
_atom_site_fract_x
_atom_site_fract_y
_atom_site_fract_z
_atom_site_occupancy
Nd1 0.250 0.250 0.250 1
Ho1 0.000 0.000 0.000 1
Tm1 0.000 0.000 0.500 1


4.
# Sc3Co (PBE, optimized geometry)
# VASP energy, eV/atom: -6.71
# Magnetization, μB per formula unit: 0.00
# E_form, eV/atom: -0.18
# V, Å³ per cell: 156.9
data_Sc3Co
_chemical_formula_sum 'Sc6 Co2'
_space_group_name_H-M_alt 'I m m m'
_space_group_IT_number 71
_space_group_name_Hall '-I 2 2'
_cell_length_a 3.298
_cell_length_b 4.850
_cell_length_c 9.811
_cell_angle_alpha 90.00
_cell_angle_beta 90.00
_cell_angle_gamma 90.00
loop_
_atom_site_label
_atom_site_fract_x
_atom_site_fract_y
_atom_site_fract_z
_atom_site_occupancy
Sc1 0.000 0.000 0.000 1
Sc2 0.000 0.500 0.200 1
Co1 0.000 0.000 0.500 1


- The highest V belongs to which entry?
  Nd2HoTm


- The lowest V belongs to which entry?
  ReAuIO2


- VASP energy of number 1 (Sr2VCoTc)?
  -4.57 eV/atom


- Which of these has the highest VASP energy?
  ReAuIO2